Entry 1:
A relaxed structure of YTmCuOs, computed with PBE.

Values from the calculation:
Calculated volume: 79.6 Å³ per cell
E_form: -277 meV/atom
Crystal system: cubic
E: -6.8422 eV per atom
Density of states at the Fermi level: 2.28 states/eV/cell

```
YTmCuOs
1.0
0.0000 3.4143 3.4143
3.4143 0.0000 3.4143
3.4143 3.4143 0.0000
Y Tm Cu Os
1 1 1 1
Direct
0.0000 0.0000 0.0000 Y
0.5000 0.5000 0.5000 Tm
0.2500 0.2500 0.2500 Cu
0.7500 0.7500 0.7500 Os
```

Entry 2:
A relaxed structure of CaSm2PuTe4, computed with PBE.

Values from the calculation:
Formation energy from raw total energies: -1372 meV per atom
Calculated volume: 249.9 Å³ per cell
Crystal system: tetragonal
E: -6.1639 eV per atom
Density of states at the Fermi level: 13.32 states/eV/cell

```
CaSm2PuTe4
1.0
-3.1474 3.1474 6.3075
3.1474 -3.1474 6.3075
3.1474 3.1474 -6.3075
Ca Sm Pu Te
1 2 1 4
Direct
0.0000 0.0000 0.0000 Ca
0.5000 0.5000 0.0000 Sm
0.7500 0.2500 0.5000 Sm
0.2500 0.7500 0.5000 Pu
0.0007 0.5007 0.5000 Te
0.2485 0.2485 0.0000 Te
0.4993 0.9993 0.5000 Te
0.7515 0.7515 0.0000 Te
```

Entry 3:
A relaxed structure of LiPr8Ga2, computed with PBE.

Values from the calculation:
Calculated volume: 341.2 Å³ per cell
E_form: -163 meV/atom
Crystal system: monoclinic
E: -4.3632 eV per atom
Density of states at the Fermi level: 10.70 states/eV/cell

```
LiPr8Ga2
1.0
9.2489 -2.5754 0.0000
9.2489 2.5754 0.0000
-1.5578 0.0000 7.1622
Li Pr Ga
1 8 2
Direct
0.0000 0.0000 0.0000 Li
0.0943 0.0943 0.4649 Pr
0.1653 0.1653 0.9554 Pr
0.3046 0.3046 0.6994 Pr
0.4700 0.4700 0.2494 Pr
0.5300 0.5300 0.7506 Pr
0.6954 0.6954 0.3006 Pr
0.8347 0.8347 0.0446 Pr
0.9057 0.9057 0.5351 Pr
0.3035 0.3035 0.2763 Ga
0.6965 0.6965 0.7237 Ga
```

Entry 4:
A relaxed structure of Cs2TlPO4, computed with PBE.

Values from the calculation:
Formation energy from raw total energies: -1749 meV per atom
Calculated volume: 457.1 Å³ per cell
Crystal system: orthorhombic
E: -5.4139 eV per atom
Density of states at the Fermi level: 0.00 states/eV/cell

```
Cs2TlPO4
1.0
0.0000 5.8756 12.2855
3.1665 0.0000 12.2855
3.1665 5.8756 0.0000
Cs Tl P O
4 2 2 8
Direct
0.0606 0.0606 0.6894 Cs
0.3106 0.3106 0.9394 Cs
0.6894 0.6894 0.0606 Cs
0.9394 0.9394 0.3106 Cs
0.1250 0.1250 0.1250 Tl
0.8750 0.8750 0.8750 Tl
0.3750 0.3750 0.3750 P
0.6250 0.6250 0.6250 P
0.1173 0.5607 0.4730 O
0.3490 0.4730 0.5607 O
0.4393 0.8827 0.6510 O
0.4730 0.3490 0.1173 O
0.5270 0.6510 0.8827 O
0.5607 0.1173 0.3490 O
0.6510 0.5270 0.4393 O
0.8827 0.4393 0.5270 O
```

Repeat the second record exactly.
A relaxed structure of CaSm2PuTe4, computed with PBE.

Values from the calculation:
Formation energy from raw total energies: -1372 meV per atom
Calculated volume: 249.9 Å³ per cell
Crystal system: tetragonal
E: -6.1639 eV per atom
Density of states at the Fermi level: 13.32 states/eV/cell

```
CaSm2PuTe4
1.0
-3.1474 3.1474 6.3075
3.1474 -3.1474 6.3075
3.1474 3.1474 -6.3075
Ca Sm Pu Te
1 2 1 4
Direct
0.0000 0.0000 0.0000 Ca
0.5000 0.5000 0.0000 Sm
0.7500 0.2500 0.5000 Sm
0.2500 0.7500 0.5000 Pu
0.0007 0.5007 0.5000 Te
0.2485 0.2485 0.0000 Te
0.4993 0.9993 0.5000 Te
0.7515 0.7515 0.0000 Te
```

Q: Look up the density of states at the Fermi level of the second one.
A: 13.32 states/eV/cell